# Ni2H2Pd | Alexandria | PBE | optimized geometry
data_Ni2H2Pd
_chemical_formula_sum 'Ni8 H8 Pd4'
_space_group_name_H-M_alt 'C 1 2/c 1'
_space_group_IT_number 15
_space_group_name_Hall '-C 2yc'
_cell_length_a 4.768
_cell_length_b 7.968
_cell_length_c 4.742
_cell_angle_alpha 90.00
_cell_angle_beta 112.35
_cell_angle_gamma 90.00
loop_
_atom_site_label
_atom_site_type_symbol
_atom_site_fract_x
_atom_site_fract_y
_atom_site_fract_z
Ni1 Ni 0.000 0.074 0.250
Ni2 Ni 0.000 0.252 0.750
H1 H 0.204 0.097 0.007
Pd1 Pd 0.000 0.404 0.250
# Size of the total moment (μB per formula unit): 0.000
# Raw total energy (eV per cell): -94.10
# Fermi-level density of states (states/eV per atom): 1.166
# Crystal system: monoclinic

=====

# Ni2H5Pd5 | Alexandria | PBE | optimized geometry
data_Ni2H5Pd5
_chemical_formula_sum 'Ni2 H5 Pd5'
_space_group_name_H-M_alt 'P -1'
_space_group_IT_number 2
_space_group_name_Hall '-P 1'
_cell_length_a 2.810
_cell_length_b 4.837
_cell_length_c 8.898
_cell_angle_alpha 98.87
_cell_angle_beta 90.30
_cell_angle_gamma 105.82
loop_
_atom_site_label
_atom_site_type_symbol
_atom_site_fract_x
_atom_site_fract_y
_atom_site_fract_z
Ni1 Ni 0.056 0.123 0.309
H1 H 0.000 0.000 0.500
H2 H 0.103 0.864 0.171
H3 H 0.350 0.659 0.679
Pd1 Pd 0.000 0.000 0.000
Pd2 Pd 0.263 0.503 0.856
Pd3 Pd 0.351 0.706 0.424
# Size of the total moment (μB per formula unit): 0.000
# Raw total energy (eV per cell): -54.51
# Fermi-level density of states (states/eV per atom): 0.543
# Crystal system: triclinic

=====

# Ni4H3Pd | Alexandria | PBE | optimized geometry
data_Ni4H3Pd
_chemical_formula_sum 'Ni16 H12 Pd4'
_space_group_name_H-M_alt 'C 1 c 1'
_space_group_IT_number 9
_space_group_name_Hall 'C -2yc'
_cell_length_a 9.188
_cell_length_b 4.572
_cell_length_c 6.725
_cell_angle_alpha 90.00
_cell_angle_beta 111.88
_cell_angle_gamma 90.00
loop_
_atom_site_label
_atom_site_type_symbol
_atom_site_fract_x
_atom_site_fract_y
_atom_site_fract_z
Ni1 Ni 0.000 0.161 0.000
Ni2 Ni 0.207 0.164 0.402
Ni3 Ni 0.306 0.328 0.104
Ni4 Ni 0.403 0.175 0.797
H1 H 0.194 0.034 0.143
H2 H 0.320 0.495 0.358
H3 H 0.397 0.017 0.534
Pd1 Pd 0.102 0.340 0.701
# Size of the total moment (μB per formula unit): 0.015
# Raw total energy (eV per cell): -153.73
# Fermi-level density of states (states/eV per atom): 1.385
# Crystal system: monoclinic

=====

# PmNiH4Pd2 | Alexandria | PBE | optimized geometry
data_PmNiH4Pd2
_chemical_formula_sum 'Pm2 Ni2 H8 Pd4'
_space_group_name_H-M_alt 'I 2 2 2'
_space_group_IT_number 23
_space_group_name_Hall 'I 2 2'
_cell_length_a 4.972
_cell_length_b 5.179
_cell_length_c 6.503
_cell_angle_alpha 90.00
_cell_angle_beta 90.00
_cell_angle_gamma 90.00
loop_
_atom_site_label
_atom_site_type_symbol
_atom_site_fract_x
_atom_site_fract_y
_atom_site_fract_z
Pm1 Pm 0.000 0.000 0.000
Ni1 Ni 0.000 0.000 0.500
H1 H 0.178 0.177 0.672
Pd1 Pd 0.000 0.500 0.232
# Size of the total moment (μB per formula unit): 0.000
# Raw total energy (eV per cell): -74.51
# Fermi-level density of states (states/eV per atom): 0.422
# Crystal system: orthorhombic

=====

# PmNi3H8Pd2 | Alexandria | PBE | optimized geometry
data_PmNi3H8Pd2
_chemical_formula_sum 'Pm3 Ni9 H24 Pd6'
_space_group_name_H-M_alt 'R 3 m'
_space_group_IT_number 160
_space_group_name_Hall 'R 3 -2"'
_cell_length_a 5.4206
_cell_length_b 5.4206
_cell_length_c 14.0030
_cell_angle_alpha 90.00
_cell_angle_beta 90.00
_cell_angle_gamma 120.00
loop_
_atom_site_label
_atom_site_type_symbol
_atom_site_fract_x
_atom_site_fract_y
_atom_site_fract_z
Pm1 Pm 0.0000 0.0000 0.0000
Ni1 Ni 0.1694 0.3389 0.2039
H1 H 0.0000 0.0000 0.1572
H2 H 0.0000 0.0000 0.6056
H3 H 0.0239 0.5120 0.1385
H4 H 0.2081 0.4162 0.9310
Pd1 Pd 0.0000 0.0000 0.3749
Pd2 Pd 0.0000 0.0000 0.7399
# Size of the total moment (μB per formula unit): 0.000
# Raw total energy (eV per cell): -186.24
# Fermi-level density of states (states/eV per atom): 0.395
# Crystal system: trigonal

=====

# PrNiH6Pd | Alexandria | PBE | optimized geometry
data_PrNiH6Pd
_chemical_formula_sum 'Pr1 Ni1 H6 Pd1'
_space_group_name_H-M_alt 'P -6 m 2'
_space_group_IT_number 187
_space_group_name_Hall 'P -6 2'
_cell_length_a 4.6419
_cell_length_b 4.6419
_cell_length_c 4.3145
_cell_angle_alpha 90.00
_cell_angle_beta 90.00
_cell_angle_gamma 120.00
loop_
_atom_site_label
_atom_site_type_symbol
_atom_site_fract_x
_atom_site_fract_y
_atom_site_fract_z
Pr1 Pr 0.0000 0.0000 0.0000
Ni1 Ni 0.6667 0.3333 0.5000
H1 H 0.5134 0.0269 0.2494
Pd1 Pd 0.3333 0.6667 0.5000
# Size of the total moment (μB per formula unit): 0.000
# Raw total energy (eV per cell): -39.15
# Fermi-level density of states (states/eV per atom): 0.127
# Crystal system: hexagonal

=====

# PrNi2H8Pd | Alexandria | PBE | optimized geometry
data_PrNi2H8Pd
_chemical_formula_sum 'Pr3 Ni6 H24 Pd3'
_space_group_name_H-M_alt 'R -3'
_space_group_IT_number 148
_space_group_name_Hall '-R 3'
_cell_length_a 4.6158
_cell_length_b 4.6158
_cell_length_c 16.2589
_cell_angle_alpha 90.00
_cell_angle_beta 90.00
_cell_angle_gamma 120.00
loop_
_atom_site_label
_atom_site_type_symbol
_atom_site_fract_x
_atom_site_fract_y
_atom_site_fract_z
Pr1 Pr 0.0000 0.0000 0.0000
Ni1 Ni 0.0000 0.0000 0.2064
H1 H 0.0000 0.0000 0.3046
H2 H 0.0036 0.7017 0.1194
Pd1 Pd 0.0000 0.0000 0.5000
# Size of the total moment (μB per formula unit): 0.000
# Raw total energy (eV per cell): -151.95
# Fermi-level density of states (states/eV per atom): 0.188
# Crystal system: trigonal

=====

# NiH5Pd2Pt | Alexandria | PBE | optimized geometry
data_NiH5Pd2Pt
_chemical_formula_sum 'Ni4 H20 Pd8 Pt4'
_space_group_name_H-M_alt 'C m c 21'
_space_group_IT_number 36
_space_group_name_Hall 'C 2c -2'
_cell_length_a 2.882
_cell_length_b 10.184
_cell_length_c 10.277
_cell_angle_alpha 90.00
_cell_angle_beta 90.00
_cell_angle_gamma 90.00
loop_
_atom_site_label
_atom_site_type_symbol
_atom_site_fract_x
_atom_site_fract_y
_atom_site_fract_z
Ni1 Ni 0.000 0.250 0.000
H1 H 0.000 0.068 0.761
H2 H 0.000 0.085 0.040
H3 H 0.000 0.219 0.410
H4 H 0.000 0.246 0.619
H5 H 0.000 0.419 0.005
Pd1 Pd 0.000 0.316 0.259
Pd2 Pd 0.000 0.418 0.660
Pt1 Pt 0.000 0.034 0.404
# Size of the total moment (μB per formula unit): 0.000
# Raw total energy (eV per cell): -155.69
# Fermi-level density of states (states/eV per atom): 0.288
# Crystal system: orthorhombic

=====

# Ni2HPdPt | Alexandria | PBE | optimized geometry
data_Ni2HPdPt
_chemical_formula_sum 'Ni2 H1 Pd1 Pt1'
_space_group_name_H-M_alt 'P 4/m m m'
_space_group_IT_number 123
_space_group_name_Hall '-P 4 2'
_cell_length_a 3.872
_cell_length_b 3.872
_cell_length_c 3.741
_cell_angle_alpha 90.00
_cell_angle_beta 90.00
_cell_angle_gamma 90.00
loop_
_atom_site_label
_atom_site_type_symbol
_atom_site_fract_x
_atom_site_fract_y
_atom_site_fract_z
Ni1 Ni 0.000 0.500 0.000
H1 H 0.000 0.000 0.000
Pd1 Pd 0.500 0.500 0.500
Pt1 Pt 0.000 0.000 0.500
# Size of the total moment (μB per formula unit): 1.704
# Raw total energy (eV per cell): -26.10
# Fermi-level density of states (states/eV per atom): 1.510
# Crystal system: tetragonal

=====

# Ni2HPdPt | Alexandria | PBE | optimized geometry
data_Ni2HPdPt
_chemical_formula_sum 'Ni2 H1 Pd1 Pt1'
_space_group_name_H-M_alt 'P 4/m m m'
_space_group_IT_number 123
_space_group_name_Hall '-P 4 2'
_cell_length_a 3.848
_cell_length_b 3.848
_cell_length_c 3.761
_cell_angle_alpha 90.00
_cell_angle_beta 90.00
_cell_angle_gamma 90.00
loop_
_atom_site_label
_atom_site_type_symbol
_atom_site_fract_x
_atom_site_fract_y
_atom_site_fract_z
Ni1 Ni 0.000 0.500 0.000
H1 H 0.000 0.000 0.000
Pd1 Pd 0.000 0.000 0.500
Pt1 Pt 0.500 0.500 0.500
# Size of the total moment (μB per formula unit): 1.485
# Raw total energy (eV per cell): -26.15
# Fermi-level density of states (states/eV per atom): 1.606
# Crystal system: tetragonal

=====

# NiH4PdPt | Alexandria | PBE | optimized geometry
data_NiH4PdPt
_chemical_formula_sum 'Ni2 H8 Pd2 Pt2'
_space_group_name_H-M_alt 'P 1 21/m 1'
_space_group_IT_number 11
_space_group_name_Hall '-P 2yb'
_cell_length_a 4.947
_cell_length_b 4.402
_cell_length_c 5.469
_cell_angle_alpha 90.00
_cell_angle_beta 109.99
_cell_angle_gamma 90.00
loop_
_atom_site_label
_atom_site_type_symbol
_atom_site_fract_x
_atom_site_fract_y
_atom_site_fract_z
Ni1 Ni 0.147 0.250 0.467
H1 H 0.129 0.005 0.703
H2 H 0.190 0.250 0.132
H3 H 0.469 0.750 0.471
Pd1 Pd 0.168 0.750 0.167
Pt1 Pt 0.435 0.750 0.777
# Size of the total moment (μB per formula unit): 0.000
# Raw total energy (eV per cell): -60.29
# Fermi-level density of states (states/eV per atom): 0.238
# Crystal system: monoclinic

=====

# NiH3PdPt | Alexandria | PBE | optimized geometry
data_NiH3PdPt
_chemical_formula_sum 'Ni2 H6 Pd2 Pt2'
_space_group_name_H-M_alt 'P 1 21/m 1'
_space_group_IT_number 11
_space_group_name_Hall '-P 2yb'
_cell_length_a 6.140
_cell_length_b 2.763
_cell_length_c 6.542
_cell_angle_alpha 90.00
_cell_angle_beta 91.35
_cell_angle_gamma 90.00
loop_
_atom_site_label
_atom_site_type_symbol
_atom_site_fract_x
_atom_site_fract_y
_atom_site_fract_z
Ni1 Ni 0.096 0.250 0.365
H1 H 0.112 0.250 0.636
H2 H 0.148 0.250 0.096
H3 H 0.285 0.750 0.371
Pd1 Pd 0.344 0.750 0.654
Pt1 Pt 0.338 0.750 0.098
# Size of the total moment (μB per formula unit): 0.000
# Raw total energy (eV per cell): -54.17
# Fermi-level density of states (states/eV per atom): 0.233
# Crystal system: monoclinic

=====

What is the formula in the eighth record?
NiH5Pd2Pt

=====

Which value of raw total energy does entry 2 give?
-54.51 eV per cell

=====

Which of these has the lowest Fermi-level density of states?
PrNiH6Pd